VASP calculation (GGA+U) on a relaxed structure of MnPRhO2.

extended XYZ file:
```
5
Lattice="3.571 0.000 0.000 0.000 3.571 0.000 0.000 0.000 5.744" Properties=species:S:1:pos:R:3 pbc="T T T"
Mn 0.000 0.000 0.000
P 0.000 0.000 2.872
Rh 1.786 1.786 2.872
O 0.000 1.786 0.000
O 1.786 0.000 0.000
```

Summary:
Space-group type: No. 123
Distance to the lowest polymorph of the same formula in eV/atom: 0.018